1.
DFT (GGA-PBEsol) results for an optimized crystal structure of Al2InIr.

Structure (extended XYZ):
```
8
Lattice="-0.7625 1.9879 -4.7313 -2.1041 -3.9679 -4.1727 -5.5984 2.2995 -0.9763" Properties=species:S:1:pos:R:3 pbc="T T T"
Ir 0.0000 0.0000 0.0000
Ir -4.4231 0.6567 -6.1230
In -0.3812 0.9939 -2.3656
In -4.0419 -0.3373 -3.7574
Al -3.4724 1.0938 -1.1144
Al -2.0102 0.2773 -5.9601
Al -6.6454 0.5391 -5.1031
Al -4.8019 -1.2713 -7.5832
```

Summary:
The formation energy is -0.010 eV per atom. Its total magnetization is 0.0 μB per cell. As for the symmetry: I-42d (122).

=====

2.
DFT (GGA-PBEsol) results for an optimized crystal structure of Al2InIr.

Structure (extended XYZ):
```
4
Lattice="3.9931 0.0000 0.0000 0.0000 3.9931 0.0000 -1.9965 -1.9965 3.9755" Properties=species:S:1:pos:R:3 pbc="T T T"
Al 0.0000 0.0000 0.0000
Al 1.9965 0.0000 1.9877
Ir 0.0000 1.9965 1.9877
In 1.9965 1.9965 0.0000
```

Summary:
The formation energy is -0.147 eV per atom. Its total magnetization is 0.0 μB per cell. As for the symmetry: I-4m2 (119).

=====

3.
DFT (GGA-PBEsol) results for an optimized crystal structure of Al2InIr.

Structure (extended XYZ):
```
4
Lattice="-2.2455 1.1724 1.8070 1.9222 -1.7121 3.4994 3.7494 3.5495 -0.3229" Properties=species:S:1:pos:R:3 pbc="T T T"
Ir 2.2484 2.6417 2.7539
Al 0.7686 0.3132 2.4275
Al -1.7996 0.9919 1.4738
In 1.8379 2.0102 -0.0260
```

Summary:
The formation energy is -0.224 eV per atom. Its total magnetization is 0.0 μB per cell. As for the symmetry: Amm2 (38).

=====

4.
DFT (GGA-PBEsol) results for an optimized crystal structure of Al2InIr.

Structure (extended XYZ):
```
4
Lattice="-0.4764 -2.9497 -0.4288 -0.3900 -1.8262 2.3715 -8.7497 -0.1811 0.3428" Properties=species:S:1:pos:R:3 pbc="T T T"
Al -2.1125 -1.2879 0.5819
Al -7.5035 -3.6692 1.7037
In -4.8080 -2.4785 1.1428
Ir 0.0000 0.0000 0.0000
```

Summary:
The formation energy is -0.222 eV per atom. Its total magnetization is 0.0 μB per cell. As for the symmetry: R-3m (166).